Below is an optimized crystal structure of La3Nd2Hg2, with properties calculated at the PBE level.

Cell: 13.349 3.941 9.798 Å, 90.00 114.86 90.00°
Space group C2/m (No. 12)
Inequivalent atoms, fractional coordinates:
La (0.000, 0.000, 0.000) (multiplicity 2)
La (0.100, 0.000, 0.444) (multiplicity 4)
Nd (0.157, 0.500, 0.824) (multiplicity 4)
Hg (0.173, 0.500, 0.235) (multiplicity 4)

## Properties
**Magnetic moment**: 0.0 μB per formula unit
**VASP energy**: -3.8000 eV/atom
**E_form**: -0.24 eV/atom
**Polymorph energy (0 for the lowest one)**: 0 meV per atom